[1]
Here is a relaxed structure of Pu2SnPd3 from OQMD via LeMat-Bulk. Energies are from GGA-PBE.

Lattice parameters (Å, degrees): 5.654 5.654 8.740 90.00 90.00 120.00
Each line ends with the local moment (μB).
Atoms (fractional coordinates):
Pd  0.172  0.344  0.250  -0.04
Pd  0.172  0.828  0.250  -0.03
Pd  0.656  0.828  0.250  -0.05
Pd  0.344  0.172  0.750  -0.05
Pd  0.828  0.172  0.750  -0.03
Pd  0.828  0.656  0.750  -0.04
Pu  0.667  0.333  0.073  5.33
Pu  0.667  0.333  0.427  5.31
Pu  0.333  0.667  0.573  5.31
Pu  0.333  0.667  0.927  5.33
Sn  0.000  0.000  0.000  -0.07
Sn  0.000  0.000  0.500  -0.07

Output
Space-group type: P6_3/mmc
Total energy (eV per atom): -8.640
Magnetic moment (μB per cell): 21.8

[2]
Here is a relaxed structure of SbIr2Au from OQMD via LeMat-Bulk. Energies are from GGA-PBE.

Lattice parameters (Å, degrees): 4.610 4.610 4.610 60.00 60.00 60.00
Atoms (fractional coordinates):
Au  0.250  0.250  0.250
Ir  0.000  0.000  0.000
Ir  0.750  0.750  0.750
Sb  0.500  0.500  0.500

Output
Space-group type: F-43m
Total energy (eV per atom): -5.830
Magnetic moment (μB per cell): 0.0

[3]
Here is a relaxed structure of HoTlTe3Pd from OQMD via LeMat-Bulk. Energies are from GGA-PBE.

Lattice parameters (Å, degrees): 8.542 8.542 10.545 90.00 90.00 151.42
Atoms (fractional coordinates):
Ho  0.500  0.500  0.000
Ho  0.500  0.500  0.500
Pd  0.986  0.014  0.250
Pd  0.014  0.986  0.750
Te  0.872  0.128  0.071
Te  0.591  0.409  0.250
Te  0.872  0.128  0.429
Te  0.128  0.872  0.571
Te  0.409  0.591  0.750
Te  0.128  0.872  0.929
Tl  0.258  0.742  0.250
Tl  0.742  0.258  0.750

Output
Relative energy among the computed polymorphs (meV/atom): 0
Space-group type: Cmcm
Magnetic moment (μB per cell): 0.0

[4]
Here is a relaxed structure of MgNbCoHg from OQMD via LeMat-Bulk. Energies are from GGA-PBE.

Lattice parameters (Å, degrees): 4.579 4.579 4.579 60.00 60.00 60.00
Atoms (fractional coordinates):
Co  0.500  0.500  0.500
Hg  0.000  0.000  0.000
Mg  0.750  0.750  0.750
Nb  0.250  0.250  0.250

Output
Relative energy among the computed polymorphs (meV/atom): 34
Space-group type: F-43m
Magnetic moment (μB per cell): 0.2

[5]
Here is a relaxed structure of Gd3Sn5Pb2 from OQMD via LeMat-Bulk. Energies are from GGA-PBE.

Lattice parameters (Å, degrees): 12.992 12.992 4.618 90.00 90.00 159.52
Atoms (fractional coordinates):
Gd  0.684  0.316  0.500
Gd  0.500  0.500  0.500
Gd  0.316  0.684  0.500
Pb  0.794  0.206  0.000
Pb  0.206  0.794  0.000
Sn  0.000  0.000  0.000
Sn  0.596  0.404  0.000
Sn  0.404  0.596  0.000
Sn  0.905  0.095  0.500
Sn  0.095  0.905  0.500

Output
Relative energy among the computed polymorphs (meV/atom): 6
Space-group type: Cmmm
Magnetic moment (μB per cell): 0.0

[6]
Here is a relaxed structure of Li4GeSbPd2 from OQMD via LeMat-Bulk. Energies are from GGA-PBE.

Lattice parameters (Å, degrees): 4.371 4.371 6.280 90.00 90.00 90.00
Atoms (fractional coordinates):
Ge  0.000  0.000  0.000
Li  0.500  0.500  0.000
Li  0.500  0.000  0.231
Li  0.000  0.000  0.500
Li  0.000  0.500  0.769
Pd  0.000  0.500  0.231
Pd  0.500  0.000  0.769
Sb  0.500  0.500  0.500

Output
Space-group type: P-4m2
Total energy (eV per atom): -3.946

[7]
Here is a relaxed structure of PrAgSb from OQMD via LeMat-Bulk. Energies are from GGA-PBE.

Lattice parameters (Å, degrees): 5.123 5.123 5.123 60.00 60.00 60.00
Atoms (fractional coordinates):
Ag  0.250  0.250  0.250
Pr  0.000  0.000  0.000
Sb  0.750  0.750  0.750

Output
Space-group type: F-43m
Total energy (eV per atom): -4.253
Magnetic moment (μB per cell): 0.0

[8]
Here is a relaxed structure of CuSnIrW from OQMD via LeMat-Bulk. Energies are from GGA-PBE.

Lattice parameters (Å, degrees): 4.498 4.498 4.498 60.00 60.00 60.00
Atoms (fractional coordinates):
Cu  0.750  0.750  0.750
Ir  0.500  0.500  0.500
Sn  0.000  0.000  0.000
W  0.250  0.250  0.250

Output
Relative energy among the computed polymorphs (meV/atom): 18
Space-group type: F-43m
Magnetic moment (μB per cell): 0.2